[1]
Entry from Alexandria via LeMat-Bulk: Hf2GePd2 after structural relaxation (PBE).

The value obtained for the formation energy is -443 meV/atom. As for the spin magnetization: 0.00 μB/cell. Its symmetry is P4/mbm, No. 127.

Cell: 7.6274 7.6274 3.2903 Å, 90.00 90.00 90.00°
Last column: nearest neighbours and their distance in Å.
Sites, in units of the cell vectors:
Pd 0.8717 0.3717 0.5000  6 Hf 2.75-2.81, 1 Pd 2.77
Pd 0.1283 0.6283 0.5000  6 Hf 2.75-2.81, 1 Pd 2.77
Pd 0.6283 0.8717 0.5000  6 Hf 2.75-2.81, 1 Pd 2.77
Pd 0.3717 0.1283 0.5000  6 Hf 2.75-2.81, 1 Pd 2.77
Hf 0.1679 0.3321 0.0000  6 Pd 2.75-2.81, 2 Ge 2.84
Hf 0.8321 0.6679 0.0000  6 Pd 2.75-2.81, 2 Ge 2.84
Hf 0.6679 0.1679 0.0000  6 Pd 2.75-2.81, 2 Ge 2.84
Hf 0.3321 0.8321 0.0000  6 Pd 2.75-2.81, 2 Ge 2.84
Ge 0.0000 0.0000 0.0000  4 Hf 2.84
Ge 0.5000 0.5000 0.0000  4 Hf 2.84

---

[2]
Entry from Alexandria via LeMat-Bulk: KTc2PdN after structural relaxation (PBE).

As for the total energy: -0.234 Ry per atom. As for the spin magnetization: 2.60 μB/cell. Its symmetry is P4/mmm, No. 123.

Cell: 4.5792 4.8083 4.5792 Å, 90.00 90.00 90.00°
Last column: nearest neighbours and their distance in Å.
Sites, in units of the cell vectors:
K 0.0000 0.0000 0.0000  4 Tc 2.29, 2 Pd 2.40
Tc 0.0000 0.0000 0.5000  2 K 2.29
Tc 0.5000 0.0000 0.0000  2 K 2.29
Pd 0.0000 0.5000 0.0000  2 K 2.40
N 0.5000 0.5000 0.5000  4 Pd 3.24, 8 Tc 3.32

---

| no. | calculated volume (Å³/cell) |
| --- | --- |
| 1 | 191.42 |
| 2 | 100.83 |